Record 1
A plane-wave DFT calculation with PBE-GGA was carried out for crystalline Dy4Ga2C at its relaxed geometry.

a b c (Å): 4.8880 4.8880 7.8901
angles (deg): 108.04 108.04 90.00
With the nearest neighbours (Å) after each atom.
Sites, in units of the cell vectors:
C1 0.0000 0.0000 0.0000  6 Dy 2.44
Ga1 0.6232 0.6232 0.2465  5 Dy 2.91-3.00
Ga2 0.3768 0.3768 0.7535  5 Dy 2.91-3.00
Dy1 0.8281 0.8281 0.6562  1 C 2.44
Dy2 0.1719 0.1719 0.3438  1 C 2.44
Dy3 0.0000 0.5000 0.0000  2 C 2.44
Dy4 0.5000 0.0000 0.0000  2 C 2.44

Fermi-level density of states, states/eV per atom: 0.082
Volume, Å³/f.u.: 169.5
Theoretical density, g/cm3: 7.853
Spin magnetization, Bohr magnetons per cell: 0.00
Energy of formation from the pure elements, eV per atom: -0.4265

=====

Record 2
A plane-wave DFT calculation with PBE-GGA was carried out for crystalline Dy4Ga2C at its relaxed geometry.

a b c (Å): 3.7295 6.3496 7.4242
angles (deg): 76.18 75.45 72.92
With the nearest neighbours (Å) after each atom.
Sites, in units of the cell vectors:
C1 0.0000 0.0000 0.0000  6 Dy 2.47-2.48
Ga1 0.3771 0.5870 0.6587  1 Ga 2.68
Ga2 0.6229 0.4130 0.3413  1 Ga 2.68
Dy1 0.0853 0.1682 0.6613  1 C 2.47
Dy2 0.9147 0.8318 0.3387  1 C 2.47
Dy3 0.3451 0.2471 0.0628  2 C 2.48
Dy4 0.6549 0.7529 0.9372  2 C 2.48

Fermi-level density of states, states/eV per atom: 0.698
Volume, Å³/f.u.: 160.1
Theoretical density, g/cm3: 8.315
Spin magnetization, Bohr magnetons per cell: 0.99
Energy of formation from the pure elements, eV per atom: -0.4671

=====

Record 3
A plane-wave DFT calculation with PBE-GGA was carried out for crystalline Dy8GaC4 at its relaxed geometry.

a b c (Å): 3.6229 8.8921 9.0957
angles (deg): 83.11 78.51 78.25
With the nearest neighbours (Å) after each atom.
Sites, in units of the cell vectors:
Dy1 0.1503 0.3246 0.3747  3 C 2.48-2.49
Dy2 0.5582 0.6519 0.2318  3 C 2.47-2.50
Dy3 0.4733 0.3516 0.7019  3 C 2.47-2.50
Dy4 0.8812 0.6787 0.5590  3 C 2.48-2.49
Dy5 0.8552 0.9879 0.3018  3 C 2.46-2.48
Dy6 0.2141 0.6669 0.9049  3 C 2.45-2.51
Dy7 0.1762 0.0156 0.6320  3 C 2.46-2.48
Dy8 0.8174 0.3365 0.0288  3 C 2.45-2.51
Ga1 0.5157 0.0016 0.9670  10 Dy 3.48-3.70, 2 Ga 3.62
C1 0.3658 0.8359 0.4326  6 Dy 2.46-2.50
C2 0.8467 0.5090 0.7976  6 Dy 2.45-2.51
C3 0.1847 0.4945 0.1361  6 Dy 2.45-2.51
C4 0.6656 0.1675 0.5012  6 Dy 2.46-2.50

Fermi-level density of states, states/eV per atom: 0.780
Volume, Å³/f.u.: 280.2
Theoretical density, g/cm3: 8.403
Spin magnetization, Bohr magnetons per cell: 0.00
Energy of formation from the pure elements, eV per atom: -0.2637

=====

Record 4
A plane-wave DFT calculation with PBE-GGA was carried out for crystalline DyMn2Ga2C at its relaxed geometry.

a b c (Å): 3.9034 3.9034 5.5652
angles (deg): 90.00 90.00 90.00
With the nearest neighbours (Å) after each atom.
Sites, in units of the cell vectors:
Dy1 0.0000 0.0000 0.5000  2 C 2.78, 8 Ga 3.03
Mn1 0.5000 0.0000 0.0000  2 C 1.95
Mn2 0.0000 0.5000 0.0000  2 C 1.95
Ga1 0.5000 0.5000 0.7239  4 Mn 2.48, 1 Ga 2.49
Ga2 0.5000 0.5000 0.2761  4 Mn 2.48, 1 Ga 2.49
C1 0.0000 0.0000 0.0000  4 Mn 1.95

Fermi-level density of states, states/eV per atom: 0.555
Volume, Å³/f.u.: 84.8
Theoretical density, g/cm3: 8.300
Spin magnetization, Bohr magnetons per cell: 1.78
Energy of formation from the pure elements, eV per atom: -0.3685

=====

Record 5
A plane-wave DFT calculation with PBE-GGA was carried out for crystalline Dy2Ga2Os2C at its relaxed geometry.

a b c (Å): 4.0082 5.8360 6.1522
angles (deg): 71.88 70.99 69.92
With the nearest neighbours (Å) after each atom.
Sites, in units of the cell vectors:
Dy1 0.5658 0.1583 0.7100  2 C 2.64
Dy2 0.4342 0.8417 0.2900  2 C 2.64
Ga1 0.1438 0.3891 0.3234  3 Os 2.52-2.56, 1 Ga 2.61
Ga2 0.8562 0.6109 0.6766  3 Os 2.52-2.56, 1 Ga 2.61
Os1 0.1993 0.6855 0.9159  1 C 1.89
Os2 0.8007 0.3145 0.0841  1 C 1.89
C1 0.0000 0.0000 0.0000  2 Os 1.89

Fermi-level density of states, states/eV per atom: 0.425
Volume, Å³/f.u.: 124.5
Theoretical density, g/cm3: 11.426
Spin magnetization, Bohr magnetons per cell: 0.00
Energy of formation from the pure elements, eV per atom: -0.4870

=====

Record 6
A plane-wave DFT calculation with PBE-GGA was carried out for crystalline Dy2GaOsC at its relaxed geometry.

a b c (Å): 3.9071 4.9507 4.9507
angles (deg): 90.00 90.00 90.00
With the nearest neighbours (Å) after each atom.
Sites, in units of the cell vectors:
Dy1 0.0000 0.0000 0.5000  2 C 2.48
Dy2 0.0000 0.5000 0.0000  2 C 2.48
Ga1 0.5000 0.5000 0.5000  8 Dy 3.15, 4 Os 3.50
Os1 0.5000 0.0000 0.0000  2 C 1.95
C1 0.0000 0.0000 0.0000  2 Os 1.95

Fermi-level density of states, states/eV per atom: 0.493
Volume, Å³/f.u.: 95.8
Theoretical density, g/cm3: 10.352
Spin magnetization, Bohr magnetons per cell: 0.00
Energy of formation from the pure elements, eV per atom: -0.4316

=====

Record 7
A plane-wave DFT calculation with PBE-GGA was carried out for crystalline Dy4GaPbC at its relaxed geometry.

a b c (Å): 6.8117 6.8138 8.4677
angles (deg): 90.00 113.72 90.00
With the nearest neighbours (Å) after each atom.
Sites, in units of the cell vectors:
Dy1 0.9172 0.2500 0.8345  1 C 2.56
Dy2 0.4089 0.7500 0.8178  1 C 2.50
Dy3 0.0828 0.7500 0.1655  1 C 2.56
Dy4 0.5911 0.2500 0.1822  1 C 2.50
Dy5 0.5000 0.5000 0.5000  2 C 2.41
Dy6 0.0000 0.0000 0.5000  2 C 2.41
Dy7 0.5000 0.0000 0.5000  2 C 2.41
Dy8 0.0000 0.5000 0.5000  2 C 2.41
Ga1 0.1183 0.2500 0.2366  9 Dy 3.12-3.45
Ga2 0.8817 0.7500 0.7634  9 Dy 3.12-3.45
Pb1 0.6094 0.7500 0.2189  9 Dy 3.11-3.43
Pb2 0.3906 0.2500 0.7811  9 Dy 3.11-3.43
C1 0.2476 0.7500 0.4952  6 Dy 2.41-2.56
C2 0.7524 0.2500 0.5048  6 Dy 2.41-2.56

Fermi-level density of states, states/eV per atom: 0.611
Volume, Å³/f.u.: 179.9
Theoretical density, g/cm3: 8.666
Spin magnetization, Bohr magnetons per cell: 0.00
Energy of formation from the pure elements, eV per atom: -0.4517

=====

Record 8
A plane-wave DFT calculation with PBE-GGA was carried out for crystalline PmDy2GaC at its relaxed geometry.

a b c (Å): 5.0239 4.8679 4.8679
angles (deg): 90.00 90.00 90.00
With the nearest neighbours (Å) after each atom.
Sites, in units of the cell vectors:
Pm1 0.5000 0.0000 0.0000  2 C 2.51
Dy1 0.0000 0.0000 0.5000  2 C 2.43
Dy2 0.0000 0.5000 0.0000  2 C 2.43
Ga1 0.5000 0.5000 0.5000  4 Pm 3.44, 8 Dy 3.50
C1 0.0000 0.0000 0.0000  4 Dy 2.43, 2 Pm 2.51

Fermi-level density of states, states/eV per atom: 0.413
Volume, Å³/f.u.: 119.1
Theoretical density, g/cm3: 7.696
Spin magnetization, Bohr magnetons per cell: 0.00
Energy of formation from the pure elements, eV per atom: -0.3880